## TaCdCu2 (PBE)

Data for an optimized crystal structure of TaCdCu2.

Cell lengths 6.275, 6.275, 6.275 Å; angles 90.00, 90.00, 90.00 degrees
Positions (direct):
Ta  0.000  0.000  0.000
Ta  0.000  0.500  0.500
Ta  0.500  0.000  0.500
Ta  0.500  0.500  0.000
Cd  0.250  0.250  0.250
Cd  0.250  0.750  0.750
Cd  0.750  0.250  0.750
Cd  0.750  0.750  0.250
Cu  0.000  0.000  0.500
Cu  0.000  0.500  0.000
Cu  0.250  0.250  0.750
Cu  0.250  0.750  0.250
Cu  0.500  0.000  0.000
Cu  0.500  0.500  0.500
Cu  0.750  0.250  0.250
Cu  0.750  0.750  0.750

Output
- SG = F-43m, No. 216
- DFT formation energy (eV per atom) = 0.423

=====

## CsDyBr2Cl (PBE)

Data for an optimized crystal structure of CsDyBr2Cl.

Cell lengths 5.657, 5.657, 5.362 Å; angles 90.00, 90.00, 90.00 degrees
Positions (direct):
Cs  0.000  0.000  0.000
Dy  0.500  0.500  0.500
Br  0.000  0.500  0.500
Br  0.500  0.000  0.500
Cl  0.500  0.500  0.000

Output
- uncorrected energy (eV per atom) = -3.834
- SG = P4/mmm, No. 123

=====

## Pt2W (PBE)

Data for an optimized crystal structure of Pt2W.

Cell lengths 2.789, 3.959, 8.333 Å; angles 90.00, 90.00, 90.00 degrees
Positions (direct):
Pt  0.000  0.000  0.163
Pt  0.000  0.000  0.837
Pt  0.500  0.500  0.337
Pt  0.500  0.500  0.663
W  0.000  0.000  0.500
W  0.500  0.500  0.000

Output
- SG = Immm, No. 71
- DFT formation energy (eV per atom) = -0.341
- E above lowest polymorph (meV/atom) = 0

=====

## ScCoPdPb (PBE)

Data for an optimized crystal structure of ScCoPdPb.

Cell lengths 6.586, 6.586, 6.586 Å; angles 90.00, 90.00, 90.00 degrees
Positions (direct):
Sc  0.000  0.000  0.000
Sc  0.000  0.500  0.500
Sc  0.500  0.000  0.500
Sc  0.500  0.500  0.000
Co  0.000  0.000  0.500
Co  0.000  0.500  0.000
Co  0.500  0.000  0.000
Co  0.500  0.500  0.500
Pd  0.250  0.250  0.750
Pd  0.250  0.750  0.250
Pd  0.750  0.250  0.250
Pd  0.750  0.750  0.750
Pb  0.250  0.250  0.250
Pb  0.250  0.750  0.750
Pb  0.750  0.250  0.750
Pb  0.750  0.750  0.250

Output
- SG = F-43m, No. 216
- E above lowest polymorph (meV/atom) = 210